Record 1
Material: Pr8ZnP3I4
Method: DFT, GGA-PBE
State: relaxed Values from VASP.

Computed properties:
As for the density: 6.0 Mg/m³. The formation energy without anion corrections is -1.16 eV per atom.

Geometry as Quantum ESPRESSO input:
```
&SYSTEM
  ibrav = 0, nat = 16, ntyp = 4
/
ATOMIC_SPECIES
Pr 140.91 Pr.upf
Zn 65.41 Zn.upf
P 30.97 P.upf
I 126.90 I.upf
ATOMIC_POSITIONS crystal
Pr 0.227 0.735 0.735
Pr 0.230 0.230 0.230
Pr 0.265 0.265 0.773
Pr 0.265 0.773 0.265
Pr 0.735 0.227 0.735
Pr 0.735 0.735 0.227
Pr 0.770 0.770 0.770
Pr 0.773 0.265 0.265
Zn 0.500 0.500 0.500
P 0.000 0.000 0.500
P 0.000 0.500 0.000
P 0.500 0.000 0.000
I 0.000 0.000 0.000
I 0.000 0.500 0.500
I 0.500 0.000 0.500
I 0.500 0.500 0.000
CELL_PARAMETERS angstrom
4.273 2.467 7.795
-4.273 2.467 7.795
0.000 -4.934 7.795
```

***

Record 2
Material: Pr8Zn3PI4
Method: DFT, GGA-PBE
State: relaxed Values from VASP.

Computed properties:
As for the density: 6.2 Mg/m³. The formation energy without anion corrections is -0.76 eV per atom.

Geometry as Quantum ESPRESSO input:
```
&SYSTEM
  ibrav = 0, nat = 16, ntyp = 4
/
ATOMIC_SPECIES
Pr 140.91 Pr.upf
Zn 65.41 Zn.upf
P 30.97 P.upf
I 126.90 I.upf
ATOMIC_POSITIONS crystal
Pr 0.239 0.239 0.239
Pr 0.245 0.731 0.731
Pr 0.269 0.269 0.755
Pr 0.269 0.755 0.269
Pr 0.731 0.245 0.731
Pr 0.731 0.731 0.245
Pr 0.755 0.269 0.269
Pr 0.761 0.761 0.761
Zn 0.000 0.000 0.500
Zn 0.000 0.500 0.000
Zn 0.500 0.000 0.000
P 0.500 0.500 0.500
I 0.000 0.000 0.000
I 0.000 0.500 0.500
I 0.500 0.000 0.500
I 0.500 0.500 0.000
CELL_PARAMETERS angstrom
4.302 2.484 7.837
-4.302 2.484 7.837
0.000 -4.967 7.837
```

***

Record 3
Material: PPtI3
Method: DFT, GGA-PBE
State: relaxed Values from VASP.

Computed properties:
As for the density: 6.1 Mg/m³. The formation energy without anion corrections is 0.69 eV per atom.

Geometry as Quantum ESPRESSO input:
```
&SYSTEM
  ibrav = 0, nat = 5, ntyp = 3
/
ATOMIC_SPECIES
P 30.97 P.upf
Pt 195.08 Pt.upf
I 126.90 I.upf
ATOMIC_POSITIONS crystal
P 0.000 0.000 0.000
Pt 0.500 0.500 0.500
I 0.000 0.500 0.500
I 0.500 0.000 0.500
I 0.500 0.500 0.000
CELL_PARAMETERS angstrom
5.491 0.000 0.000
0.000 5.491 0.000
0.000 0.000 5.491
```

***

Among the records above, which one has the lowest density?
Pr8ZnP3I4

***

Which of these has the lowest density?
Pr8ZnP3I4